(1)
VASP calculation (GGA-PBE) on a relaxed structure of Tb2ErCl.

a = 10.182 Å, b = 10.182 Å, c = 10.182 Å
α = 20.33°, β = 20.33°, γ = 20.33°
Positions (direct):
Tb (0.240, 0.240, 0.240)
Tb (0.760, 0.760, 0.760)
Er (0.000, 0.000, 0.000)
Cl (0.500, 0.500, 0.500)

Output
- total DFT energy (no corrections) (eV per atom) = -4.567
- crystal system = trigonal
- uncorrected formation energy (eV/atom) = -0.649
- D(E_F) (states/eV per cell) = 4.3
- magnetic moment (Bohr magnetons per cell) = 0.0

---

(2)
VASP calculation (GGA-PBE) on a relaxed structure of TbEr2Cl.

a = 11.326 Å, b = 11.326 Å, c = 11.326 Å
α = 17.33°, β = 17.33°, γ = 17.33°
Positions (direct):
Tb (0.000, 0.000, 0.000)
Er (0.101, 0.101, 0.101)
Er (0.899, 0.899, 0.899)
Cl (0.500, 0.500, 0.500)

Output
- total DFT energy (no corrections) (eV per atom) = -4.235
- crystal system = trigonal
- uncorrected formation energy (eV/atom) = -0.335
- D(E_F) (states/eV per cell) = 6.1
- magnetic moment (Bohr magnetons per cell) = 1.1